! K2MnRh, optimized geometry, DFT PBE; values from VASP
! Crystal system: monoclinic
&SYSTEM
  ibrav = 0, nat = 4, ntyp = 3
/
ATOMIC_SPECIES
K 39.10 K.upf
Mn 54.94 Mn.upf
Rh 102.91 Rh.upf
CELL_PARAMETERS angstrom
3.494 0.000 0.000
0.000 3.496 0.000
-0.232 0.000 10.104
ATOMIC_POSITIONS crystal
K 0.000 0.000 0.000
K 0.469 0.500 0.414
Mn 0.486 0.500 0.736
Rh 0.981 0.000 0.670


! KMnRh3, optimized geometry, DFT PBE; values from VASP
! Crystal system: cubic
&SYSTEM
  ibrav = 0, nat = 5, ntyp = 3
/
ATOMIC_SPECIES
K 39.10 K.upf
Mn 54.94 Mn.upf
Rh 102.91 Rh.upf
CELL_PARAMETERS angstrom
4.683 0.000 0.000
0.000 4.683 0.000
0.000 0.000 4.683
ATOMIC_POSITIONS crystal
K 0.000 0.000 0.000
Mn 0.500 0.500 0.500
Rh 0.000 0.000 0.500
Rh 0.000 0.500 0.000
Rh 0.500 0.000 0.000


! K2MnRh, optimized geometry, DFT PBE; values from VASP
! Crystal system: monoclinic
&SYSTEM
  ibrav = 0, nat = 4, ntyp = 3
/
ATOMIC_SPECIES
K 39.10 K.upf
Mn 54.94 Mn.upf
Rh 102.91 Rh.upf
CELL_PARAMETERS angstrom
3.691 -2.135 0.000
3.691 2.135 0.000
-2.661 0.000 9.231
ATOMIC_POSITIONS crystal
K 0.000 0.000 0.000
K 0.193 0.193 0.535
Mn 0.763 0.763 0.268
Rh 0.429 0.429 0.267


! K2MnRh, optimized geometry, DFT PBE; values from VASP
! Crystal system: orthorhombic
&SYSTEM
  ibrav = 0, nat = 4, ntyp = 3
/
ATOMIC_SPECIES
K 39.10 K.upf
Mn 54.94 Mn.upf
Rh 102.91 Rh.upf
CELL_PARAMETERS angstrom
3.398 0.000 0.000
0.000 5.312 0.000
0.000 0.000 5.639
ATOMIC_POSITIONS crystal
K 0.000 0.000 0.243
K 0.000 0.000 0.757
Mn 0.500 0.500 0.500
Rh 0.500 0.500 0.000


! KMn2Rh, optimized geometry, DFT PBE; values from VASP
! Crystal system: monoclinic
&SYSTEM
  ibrav = 0, nat = 4, ntyp = 3
/
ATOMIC_SPECIES
K 39.10 K.upf
Mn 54.94 Mn.upf
Rh 102.91 Rh.upf
CELL_PARAMETERS angstrom
2.659 0.000 0.000
0.000 4.169 0.000
-0.149 0.000 6.931
ATOMIC_POSITIONS crystal
K 0.000 0.000 0.000
Mn 0.008 0.500 0.635
Mn 0.992 0.500 0.365
Rh 0.500 0.000 0.500


! KMn2Rh, optimized geometry, DFT PBE; values from VASP
! Crystal system: trigonal
&SYSTEM
  ibrav = 0, nat = 4, ntyp = 3
/
ATOMIC_SPECIES
K 39.10 K.upf
Mn 54.94 Mn.upf
Rh 102.91 Rh.upf
CELL_PARAMETERS angstrom
1.453 0.839 9.887
-1.453 0.839 9.887
0.000 -1.678 9.887
ATOMIC_POSITIONS crystal
K 0.000 0.000 0.000
Mn 0.509 0.509 0.509
Mn 0.772 0.772 0.772
Rh 0.241 0.241 0.241


! KMn2Rh, optimized geometry, DFT PBE; values from VASP
! Crystal system: monoclinic
&SYSTEM
  ibrav = 0, nat = 4, ntyp = 3
/
ATOMIC_SPECIES
K 39.10 K.upf
Mn 54.94 Mn.upf
Rh 102.91 Rh.upf
CELL_PARAMETERS angstrom
4.553 -1.482 0.000
4.553 1.482 0.000
-1.031 0.000 6.201
ATOMIC_POSITIONS crystal
K 0.000 0.000 0.000
Mn 0.222 0.222 0.601
Mn 0.778 0.778 0.399
Rh 0.500 0.500 0.500


! K2MnRh, optimized geometry, DFT PBE; values from VASP
! Crystal system: tetragonal
&SYSTEM
  ibrav = 0, nat = 4, ntyp = 3
/
ATOMIC_SPECIES
K 39.10 K.upf
Mn 54.94 Mn.upf
Rh 102.91 Rh.upf
CELL_PARAMETERS angstrom
4.176 0.000 0.000
0.000 4.176 0.000
0.000 0.000 5.460
ATOMIC_POSITIONS crystal
K 0.000 0.500 0.000
K 0.500 0.000 0.000
Mn 0.000 0.000 0.500
Rh 0.500 0.500 0.500


! KMn3Rh, optimized geometry, DFT PBE; values from VASP
! Crystal system: cubic
&SYSTEM
  ibrav = 0, nat = 5, ntyp = 3
/
ATOMIC_SPECIES
K 39.10 K.upf
Mn 54.94 Mn.upf
Rh 102.91 Rh.upf
CELL_PARAMETERS angstrom
4.126 0.000 0.000
0.000 4.126 0.000
0.000 0.000 4.126
ATOMIC_POSITIONS crystal
K 0.000 0.000 0.000
Mn 0.000 0.000 0.500
Mn 0.000 0.500 0.000
Mn 0.500 0.000 0.000
Rh 0.500 0.500 0.500


! KMn2Rh, optimized geometry, DFT PBE; values from VASP
! Crystal system: cubic
&SYSTEM
  ibrav = 0, nat = 4, ntyp = 3
/
ATOMIC_SPECIES
K 39.10 K.upf
Mn 54.94 Mn.upf
Rh 102.91 Rh.upf
CELL_PARAMETERS angstrom
0.000 3.109 3.109
3.109 0.000 3.109
3.109 3.109 0.000
ATOMIC_POSITIONS crystal
K 0.000 0.000 0.000
Mn 0.250 0.250 0.250
Mn 0.750 0.750 0.750
Rh 0.500 0.500 0.500


! K2MnRh, optimized geometry, DFT PBE; values from VASP
! Crystal system: orthorhombic
&SYSTEM
  ibrav = 0, nat = 4, ntyp = 3
/
ATOMIC_SPECIES
K 39.10 K.upf
Mn 54.94 Mn.upf
Rh 102.91 Rh.upf
CELL_PARAMETERS angstrom
-2.039 2.900 5.236
2.039 -2.900 5.236
2.039 2.900 -5.236
ATOMIC_POSITIONS crystal
K 0.000 0.000 0.000
K 0.696 0.196 0.500
Mn 0.297 0.797 0.500
Rh 0.414 0.414 0.000


! K2MnRh, optimized geometry, DFT PBE; values from VASP
! Crystal system: trigonal
&SYSTEM
  ibrav = 0, nat = 4, ntyp = 3
/
ATOMIC_SPECIES
K 39.10 K.upf
Mn 54.94 Mn.upf
Rh 102.91 Rh.upf
CELL_PARAMETERS angstrom
1.558 0.900 11.565
-1.558 0.900 11.565
0.000 -1.800 11.565
ATOMIC_POSITIONS crystal
K 0.241 0.241 0.241
K 0.759 0.759 0.759
Mn 0.000 0.000 0.000
Rh 0.500 0.500 0.500


! KMn2Rh, optimized geometry, DFT PBE; values from VASP
! Crystal system: orthorhombic
&SYSTEM
  ibrav = 0, nat = 4, ntyp = 3
/
ATOMIC_SPECIES
K 39.10 K.upf
Mn 54.94 Mn.upf
Rh 102.91 Rh.upf
CELL_PARAMETERS angstrom
-1.497 2.766 5.214
1.497 -2.766 5.214
1.497 2.766 -5.214
ATOMIC_POSITIONS crystal
K 0.000 0.000 0.000
Mn 0.301 0.801 0.500
Mn 0.699 0.199 0.500
Rh 0.500 0.500 0.000


! KMn2Rh, optimized geometry, DFT PBE; values from VASP
! Crystal system: orthorhombic
&SYSTEM
  ibrav = 0, nat = 4, ntyp = 3
/
ATOMIC_SPECIES
K 39.10 K.upf
Mn 54.94 Mn.upf
Rh 102.91 Rh.upf
CELL_PARAMETERS angstrom
3.099 0.000 0.000
0.000 4.792 0.000
0.000 0.000 4.988
ATOMIC_POSITIONS crystal
K 0.000 0.000 0.000
Mn 0.000 0.500 0.500
Mn 0.500 0.500 0.000
Rh 0.500 0.000 0.500


! K2MnRh, optimized geometry, DFT PBE; values from VASP
! Crystal system: monoclinic
&SYSTEM
  ibrav = 0, nat = 4, ntyp = 3
/
ATOMIC_SPECIES
K 39.10 K.upf
Mn 54.94 Mn.upf
Rh 102.91 Rh.upf
CELL_PARAMETERS angstrom
3.406 0.000 0.000
0.000 5.680 0.000
-0.483 0.000 4.899
ATOMIC_POSITIONS crystal
K 0.236 0.000 0.259
K 0.764 0.000 0.741
Mn 0.500 0.500 0.000
Rh 0.000 0.500 0.500


! KMn2Rh, optimized geometry, DFT PBE; values from VASP
! Crystal system: orthorhombic
&SYSTEM
  ibrav = 0, nat = 4, ntyp = 3
/
ATOMIC_SPECIES
K 39.10 K.upf
Mn 54.94 Mn.upf
Rh 102.91 Rh.upf
CELL_PARAMETERS angstrom
-1.476 2.568 5.198
1.476 -2.568 5.198
1.476 2.568 -5.198
ATOMIC_POSITIONS crystal
K 0.000 0.000 0.000
Mn 0.295 0.795 0.500
Mn 0.545 0.545 0.000
Rh 0.734 0.234 0.500


! K2MnRh2, optimized geometry, DFT PBE; values from VASP
! Crystal system: tetragonal
&SYSTEM
  ibrav = 0, nat = 10, ntyp = 3
/
ATOMIC_SPECIES
K 39.10 K.upf
Mn 54.94 Mn.upf
Rh 102.91 Rh.upf
CELL_PARAMETERS angstrom
9.307 0.000 0.000
0.000 9.307 0.000
0.000 0.000 2.564
ATOMIC_POSITIONS crystal
K 0.118 0.382 0.000
K 0.382 0.882 0.000
K 0.618 0.118 0.000
K 0.882 0.618 0.000
Mn 0.000 0.000 0.000
Mn 0.500 0.500 0.000
Rh 0.184 0.684 0.500
Rh 0.316 0.184 0.500
Rh 0.684 0.816 0.500
Rh 0.816 0.316 0.500


! K2MnRh, optimized geometry, DFT PBE; values from VASP
! Crystal system: tetragonal
&SYSTEM
  ibrav = 0, nat = 8, ntyp = 3
/
ATOMIC_SPECIES
K 39.10 K.upf
Mn 54.94 Mn.upf
Rh 102.91 Rh.upf
CELL_PARAMETERS angstrom
-6.027 6.027 2.391
6.027 -6.027 2.391
6.027 6.027 -2.391
ATOMIC_POSITIONS crystal
K 0.375 0.197 0.322
K 0.803 0.125 0.178
K 0.875 0.053 0.678
K 0.947 0.625 0.822
Mn 0.250 0.750 0.500
Mn 0.500 0.500 0.000
Rh 0.000 0.000 0.000
Rh 0.750 0.250 0.500


! K2MnRh, optimized geometry, DFT PBE; values from VASP
! Crystal system: orthorhombic
&SYSTEM
  ibrav = 0, nat = 4, ntyp = 3
/
ATOMIC_SPECIES
K 39.10 K.upf
Mn 54.94 Mn.upf
Rh 102.91 Rh.upf
CELL_PARAMETERS angstrom
2.813 -5.341 0.000
2.813 5.341 0.000
0.000 0.000 3.371
ATOMIC_POSITIONS crystal
K 0.000 0.500 0.000
K 0.500 0.000 0.000
Mn 0.000 0.000 0.500
Rh 0.500 0.500 0.500


! K2MnRh, optimized geometry, DFT PBE; values from VASP
! Crystal system: monoclinic
&SYSTEM
  ibrav = 0, nat = 4, ntyp = 3
/
ATOMIC_SPECIES
K 39.10 K.upf
Mn 54.94 Mn.upf
Rh 102.91 Rh.upf
CELL_PARAMETERS angstrom
2.864 -5.709 0.000
2.864 5.709 0.000
-1.747 0.000 2.875
ATOMIC_POSITIONS crystal
K 0.000 0.500 0.000
K 0.500 0.000 0.000
Mn 0.000 0.000 0.500
Rh 0.500 0.500 0.500


For each record above, in turn, the calculated ΔH_f (0 K) values are 35.82 209.70 37.99 90.55 70.44 64.63 70.25 81.88 270.77 151.92 52.34 96.32 71.64 96.07 87.47 75.39 150.39 65.73 90.75 87.64 kJ per mole of atoms.
For each record above, in turn, the calculated size of the total moment values are 4.5 3.4 4.7 4.6 0.0 6.9 1.9 4.2 0.0 0.0 4.6 4.2 9.0 8.4 4.6 8.4 0.2 9.7 4.6 4.6 Bohr magnetons per cell.
For each record above, in turn, the calculated N(E_F) values are 0.5989 1.2514 0.5170 0.8608 1.1909 1.0896 1.4017 0.8245 1.7487 2.0534 0.5917 1.2179 0.8763 0.9673 0.5589 0.9884 1.5488 0.6343 0.9068 0.5880 states/eV per atom.